[1]
The following is a PBEsol calculation of a relaxed structure of CsNa2MgHg, from Alexandria.

Geometry as POSCAR:
```
CsNa2MgHg
1.0
-0.291 3.853 4.437
-0.840 -4.424 3.786
6.612 -0.507 0.874
Hg Cs Mg Na
1 1 1 2
Direct
0.000 0.000 0.000
0.000 0.000 0.500
0.500 0.500 0.500
0.500 0.000 0.000
0.000 0.500 0.000
```

Computed properties:
The density is 2.896 Mg/m³. Its formation enthalpy at 0 K is 176.7 meV/atom. As for the space group: P4/mmm (123).



[2]
The following is a PBEsol calculation of a relaxed structure of AlHgBr, from Alexandria.

Geometry as POSCAR:
```
AlHgBr
1.0
4.995 0.000 0.000
2.498 4.326 0.000
2.498 1.442 4.078
Hg Al Br
1 1 1
Direct
0.250 0.250 0.250
0.000 0.000 0.000
0.500 0.500 0.500
```

Computed properties:
Its energy above the most stable polymorph in this dataset is 5.00 kcal/mol of atoms. The density is 5.794 Mg/m³. As for the space group: F-43m (216). Its uncorrected formation energy is 0.13 eV/atom.



[3]
The following is a PBEsol calculation of a relaxed structure of CaMgIn2, from Alexandria.

Geometry as POSCAR:
```
CaMgIn2
1.0
4.317 0.000 0.000
0.000 4.772 0.000
0.000 0.000 4.772
In Mg Ca
2 1 1
Direct
0.000 0.000 0.500
0.000 0.500 0.000
0.500 0.500 0.500
0.500 0.000 0.000
```

Computed properties:
The density is 4.967 Mg/m³. Its formation enthalpy at 0 K is -339.3 meV/atom. As for the space group: P4/mmm (123).



[4]
The following is a PBEsol calculation of a relaxed structure of MnCdSb2, from Alexandria.

Geometry as POSCAR:
```
MnCdSb2
1.0
-2.891 0.899 -0.460
0.221 -1.528 -2.645
-3.080 -7.747 4.219
Sb Mn Cd
2 1 1
Direct
0.000 0.000 0.062
0.500 0.500 0.722
0.500 0.500 0.258
0.000 0.000 0.458
```

Computed properties:
The density is 7.814 Mg/m³. As for the space group: Cmm2 (35). Its uncorrected formation energy is 0.24 eV/atom.



[5]
The following is a PBEsol calculation of a relaxed structure of Be2Co2Os, from Alexandria.

Geometry as POSCAR:
```
Be2Co2Os
1.0
2.562 0.000 0.000
0.000 6.133 0.000
0.000 0.000 6.133
Os Co Be
2 4 4
Direct
0.000 0.500 0.500
0.000 0.000 0.000
0.500 0.329 0.171
0.500 0.829 0.329
0.500 0.671 0.829
0.500 0.171 0.671
0.000 0.876 0.624
0.000 0.376 0.876
0.000 0.624 0.124
0.000 0.124 0.376
```

Computed properties:
The density is 11.240 Mg/m³. Its formation enthalpy at 0 K is -163.5 meV/atom. As for the space group: P4/mbm (127).



[6]
The following is a PBEsol calculation of a relaxed structure of CsSe2I2, from Alexandria.

Geometry as POSCAR:
```
CsSe2I2
1.0
-1.281 -4.239 1.434
8.814 -2.577 0.260
0.557 2.786 8.736
Cs Se I
2 4 4
Direct
0.000 0.000 0.000
0.000 0.500 0.500
0.000 0.584 0.084
0.000 0.916 0.584
0.000 0.084 0.416
0.000 0.416 0.916
0.500 0.246 0.746
0.500 0.254 0.246
0.500 0.754 0.254
0.500 0.746 0.754
```

Computed properties:
The density is 4.605 Mg/m³. As for the space group: P4/mbm (127). Its uncorrected formation energy is -0.38 eV/atom.



[7]
The following is a PBEsol calculation of a relaxed structure of BaAlPb2, from Alexandria.

Geometry as POSCAR:
```
BaAlPb2
1.0
4.874 0.000 0.000
0.000 4.874 0.000
-2.437 -2.437 5.048
Al Pb Ba
1 2 1
Direct
0.500 0.500 0.000
0.750 0.250 0.500
0.250 0.750 0.500
0.000 0.000 0.000
```

Computed properties:
The density is 8.012 Mg/m³. Its formation enthalpy at 0 K is -134.1 meV/atom. As for the space group: I4/mmm (139).



[8]
The following is a PBEsol calculation of a relaxed structure of ZnInSe2, from Alexandria.

Geometry as POSCAR:
```
ZnInSe2
1.0
-0.453 2.849 1.780
1.081 -1.577 2.799
6.590 1.953 -1.446
In Se Zn
1 2 1
Direct
0.500 0.500 0.500
0.000 0.000 0.776
0.000 0.000 0.224
0.500 0.500 0.000
```

Computed properties:
The density is 6.957 Mg/m³. As for the space group: P4/mmm (123). Its uncorrected formation energy is -0.03 eV/atom.



[9]
The following is a PBEsol calculation of a relaxed structure of Li2InSi, from Alexandria.

Geometry as POSCAR:
```
Li2InSi
1.0
2.793 0.000 0.000
0.000 4.100 0.000
0.000 0.000 5.766
Li In Si
2 1 1
Direct
0.000 0.000 0.778
0.000 0.000 0.222
0.500 0.500 0.500
0.500 0.500 0.000
```

Computed properties:
The density is 3.943 Mg/m³. As for the space group: Pmmm (47). Its uncorrected formation energy is -0.19 eV/atom.



[10]
The following is a PBEsol calculation of a relaxed structure of Mn2IrOs, from Alexandria.

Geometry as POSCAR:
```
Mn2IrOs
1.0
4.211 0.000 0.000
2.105 3.647 0.000
2.105 1.216 3.438
Ir Mn Os
1 2 1
Direct
0.000 0.000 0.000
0.750 0.750 0.750
0.250 0.250 0.250
0.500 0.500 0.500
```

Computed properties:
Its energy above the most stable polymorph in this dataset is 3.29 kcal/mol of atoms. The density is 15.485 Mg/m³. Its formation enthalpy at 0 K is 78.7 meV/atom. As for the space group: Fm-3m (225).



[11]
The following is a PBEsol calculation of a relaxed structure of Pr12InPt7, from Alexandria.

Geometry as POSCAR:
```
Pr12InPt7
1.0
11.146 -0.005 -0.008
-4.688 10.112 0.008
-4.688 -4.122 9.234
Pt Pr In
14 24 2
Direct
0.751 0.125 0.625
0.500 0.980 0.128
0.000 0.750 0.750
0.500 0.375 0.125
0.500 0.628 0.480
0.500 0.020 0.872
0.149 0.520 0.020
0.249 0.875 0.375
0.149 0.128 0.628
0.000 0.250 0.250
0.851 0.872 0.372
0.500 0.372 0.520
0.500 0.625 0.875
0.851 0.480 0.980
0.500 0.363 0.863
0.853 0.676 0.176
0.279 0.714 0.851
0.279 0.351 0.214
0.721 0.649 0.786
0.863 0.214 0.934
0.500 0.824 0.676
0.147 0.324 0.824
0.863 0.928 0.649
0.500 0.863 0.363
0.137 0.566 0.286
0.721 0.286 0.149
0.137 0.786 0.066
0.500 0.137 0.637
0.863 0.434 0.714
0.500 0.637 0.137
0.137 0.072 0.351
0.500 0.176 0.324
0.137 0.851 0.572
0.721 0.572 0.434
0.279 0.066 0.928
0.279 0.428 0.566
0.721 0.934 0.072
0.863 0.149 0.428
0.000 0.500 0.500
0.000 0.000 0.000
```

Computed properties:
The density is 10.123 Mg/m³. Its formation enthalpy at 0 K is -830.5 meV/atom. As for the space group: I4/mcm (140).



[12]
The following is a PBEsol calculation of a relaxed structure of YTe3Ru, from Alexandria.

Geometry as POSCAR:
```
YTe3Ru
1.0
-1.187 4.917 -0.940
-4.995 -1.229 -0.120
-0.339 0.885 5.057
Y Te Ru
1 3 1
Direct
0.500 0.500 0.500
0.000 0.000 0.500
0.000 0.500 0.000
0.500 0.000 0.000
0.000 0.000 0.000
```

Computed properties:
The density is 6.983 Mg/m³. As for the space group: Pm-3m (221). Its uncorrected formation energy is -0.04 eV/atom.



[13]
The following is a PBEsol calculation of a relaxed structure of YSc2Mo, from Alexandria.

Geometry as POSCAR:
```
YSc2Mo
1.0
-0.093 -0.402 -3.175
-1.725 -2.384 -1.262
-8.589 5.131 -2.013
Sc Mo Y
2 1 1
Direct
0.989 0.989 0.032
0.747 0.747 0.758
0.253 0.253 0.240
0.510 0.510 0.470
```

Computed properties:
Its energy above the most stable polymorph in this dataset is 2.02 kcal/mol of atoms. The density is 5.121 Mg/m³. Its formation enthalpy at 0 K is 373.0 meV/atom. As for the space group: R3m (160).



[14]
The following is a PBEsol calculation of a relaxed structure of MgAlAg, from Alexandria.

Geometry as POSCAR:
```
MgAlAg
1.0
-2.661 -1.746 -1.053
1.386 -0.125 -3.295
2.697 -2.812 3.183
Mg Al Ag
1 1 1
Direct
0.336 0.336 0.671
0.658 0.658 0.315
0.007 0.007 0.013
```

Computed properties:
The density is 5.017 Mg/m³. Its formation enthalpy at 0 K is -79.9 meV/atom. As for the space group: Imm2 (44).



[15]
The following is a PBEsol calculation of a relaxed structure of HgSb2S, from Alexandria.

Geometry as POSCAR:
```
HgSb2S
1.0
4.783 0.000 0.000
0.000 4.783 0.000
-2.392 -2.392 9.416
Hg Sb S
2 4 2
Direct
0.000 0.000 0.000
0.250 0.750 0.500
0.125 0.194 0.750
0.444 0.875 0.250
0.806 0.375 0.250
0.625 0.556 0.750
0.500 0.500 0.000
0.750 0.250 0.500
```

Computed properties:
The density is 7.340 Mg/m³. As for the space group: I-42d (122). Its uncorrected formation energy is 0.12 eV/atom.



[16]
The following is a PBEsol calculation of a relaxed structure of KPN2F, from Alexandria.

Geometry as POSCAR:
```
KPN2F
1.0
-1.409 -1.690 2.562
2.728 0.601 1.897
-2.016 4.104 1.599
P F N K
1 1 2 1
Direct
0.000 0.000 0.000
0.000 0.000 0.500
0.500 0.000 0.000
0.000 0.500 0.000
0.500 0.500 0.500
```

Computed properties:
The density is 3.519 Mg/m³. As for the space group: P4/mmm (123). Its uncorrected formation energy is -0.50 eV/atom.



[17]
The following is a PBEsol calculation of a relaxed structure of CoRe2Si, from Alexandria.

Geometry as POSCAR:
```
CoRe2Si
1.0
2.797 0.000 0.000
0.000 2.797 0.000
0.000 0.000 6.447
Si Co Re
1 1 2
Direct
0.000 0.000 0.524
0.500 0.500 0.715
0.000 0.000 0.992
0.500 0.500 0.270
```

Computed properties:
The density is 15.130 Mg/m³. As for the space group: P4mm (99). Its uncorrected formation energy is -0.18 eV/atom.



[18]
The following is a PBEsol calculation of a relaxed structure of Ir3SF, from Alexandria.

Geometry as POSCAR:
```
Ir3SF
1.0
4.325 0.000 0.000
0.000 4.325 0.000
0.000 0.000 4.325
Ir F S
3 1 1
Direct
0.500 0.000 0.000
0.000 0.500 0.000
0.000 0.000 0.500
0.500 0.500 0.500
0.000 0.000 0.000
```

Computed properties:
The density is 12.888 Mg/m³. As for the space group: Pm-3m (221). Its uncorrected formation energy is 1.07 eV/atom.



[19]
The following is a PBEsol calculation of a relaxed structure of Al2CoPb, from Alexandria.

Geometry as POSCAR:
```
Al2CoPb
1.0
3.309 0.000 0.000
0.000 4.737 0.010
0.000 -1.852 4.360
Pb Al Co
1 2 1
Direct
0.500 0.500 0.500
0.000 0.000 0.500
0.000 0.500 0.000
0.500 0.000 0.000
```

Computed properties:
The density is 7.772 Mg/m³. Its formation enthalpy at 0 K is 381.9 meV/atom. As for the space group: Cmmm (65).



[20]
The following is a PBEsol calculation of a relaxed structure of Mg2TlTe, from Alexandria.

Geometry as POSCAR:
```
Mg2TlTe
1.0
4.048 0.000 0.000
0.000 5.530 0.000
-2.024 -2.765 4.539
Tl Mg Te
1 2 1
Direct
0.000 0.500 0.000
0.243 0.243 0.485
0.757 0.757 0.515
0.500 0.000 0.000
```

Computed properties:
Its energy above the most stable polymorph in this dataset is 1.24 kcal/mol of atoms. The density is 6.220 Mg/m³. As for the space group: Immm (71). Its uncorrected formation energy is -0.20 eV/atom.



[21]
The following is a PBEsol calculation of a relaxed structure of K4LiCu, from Alexandria.

Geometry as POSCAR:
```
K4LiCu
1.0
-6.668 3.023 1.478
-4.750 1.472 -5.572
-6.207 -4.078 -0.791
Li Cu K
1 1 4
Direct
0.750 0.750 0.750
0.000 0.000 0.000
0.374 0.374 0.374
0.374 0.374 0.877
0.877 0.374 0.374
0.374 0.877 0.374
```

Computed properties:
The density is 1.279 Mg/m³. Its formation enthalpy at 0 K is 577.7 meV/atom. As for the space group: F-43m (216).



[22]
The following is a PBEsol calculation of a relaxed structure of ZrTaOs, from Alexandria.

Geometry as POSCAR:
```
ZrTaOs
1.0
3.191 0.034 0.000
-0.035 3.191 0.000
-1.579 -1.614 5.126
Os Ta Zr
1 1 1
Direct
0.006 0.006 0.013
0.654 0.654 0.309
0.339 0.339 0.678
```

Computed properties:
Its energy above the most stable polymorph in this dataset is 0.00 kcal/mol of atoms. The density is 14.708 Mg/m³. Its formation enthalpy at 0 K is -330.9 meV/atom. As for the space group: I4mm (107).



[23]
The following is a PBEsol calculation of a relaxed structure of Tc2C, from Alexandria.

Geometry as POSCAR:
```
Tc2C
1.0
2.844 0.000 0.000
1.422 2.463 0.000
1.422 0.821 4.736
Tc C
2 1
Direct
0.241 0.241 0.276
0.759 0.759 0.724
0.000 0.000 0.000
```

Computed properties:
Its energy above the most stable polymorph in this dataset is 0.14 kcal/mol of atoms. The density is 10.411 Mg/m³. Its formation enthalpy at 0 K is -15.2 meV/atom. As for the space group: R-3m (166).



[24]
The following is a PBEsol calculation of a relaxed structure of NiAg2As, from Alexandria.

Geometry as POSCAR:
```
NiAg2As
1.0
4.412 0.000 0.000
2.206 3.821 0.000
2.206 1.274 3.602
Ag Ni As
2 1 1
Direct
0.000 0.000 0.000
0.750 0.750 0.750
0.250 0.250 0.250
0.500 0.500 0.500
```

Computed properties:
The density is 9.555 Mg/m³. Its formation enthalpy at 0 K is 168.8 meV/atom. As for the space group: F-43m (216).



[25]
The following is a PBEsol calculation of a relaxed structure of Zn5Cu, from Alexandria.

Geometry as POSCAR:
```
Zn5Cu
1.0
-2.611 0.741 -0.266
-1.182 -3.966 0.549
0.906 0.707 7.058
Cu Zn
1 5
Direct
0.000 0.000 0.000
0.223 0.500 0.446
0.552 0.500 0.104
0.662 0.000 0.323
0.891 0.500 0.783
0.338 0.000 0.677
```

Computed properties:
The density is 8.114 Mg/m³. Its formation enthalpy at 0 K is -55.0 meV/atom. As for the space group: Amm2 (38).



[26]
The following is a PBEsol calculation of a relaxed structure of MgInHg2, from Alexandria.

Geometry as POSCAR:
```
MgInHg2
1.0
4.677 0.000 0.000
0.000 4.677 0.000
-2.339 -2.339 4.072
Hg Mg In
2 1 1
Direct
0.750 0.250 0.500
0.250 0.750 0.500
0.000 0.000 0.000
0.500 0.500 0.000
```

Computed properties:
The density is 10.071 Mg/m³. Its formation enthalpy at 0 K is -136.0 meV/atom. As for the space group: I4/mmm (139).



[27]
The following is a PBEsol calculation of a relaxed structure of TaCo5, from Alexandria.

Geometry as POSCAR:
```
TaCo5
1.0
-1.871 4.124 0.770
-3.278 1.594 -2.797
-4.335 0.314 1.487
Co Ta
5 1
Direct
0.750 0.750 0.750
0.376 0.376 0.376
0.872 0.376 0.376
0.376 0.872 0.376
0.376 0.376 0.872
0.000 0.000 0.000
```

Computed properties:
The density is 11.519 Mg/m³. Its formation enthalpy at 0 K is -92.3 meV/atom. As for the space group: F-43m (216).